1.
Crystalline Y2ZnC at its relaxed geometry. Source: Alexandria via LeMat-Bulk, functional PBE.

Cell lengths 3.5678, 3.5678, 9.1262 Å; angles 78.73, 78.73, 60.00 degrees
Closest atoms and distances in Å follow each position.
Fractional coordinates of all 4 atoms:
1 Y 0.8831 0.8831 0.3506  3 C 2.45
2 Y 0.1169 0.1169 0.6494  3 C 2.45
3 C 0.5000 0.5000 0.5000  6 Y 2.45
4 Zn 0.0000 0.0000 0.0000  2 Y 3.12

N(E_F), states/eV/f.u.: 2.94
Raw total energy, eV per cell: -23.527
Formation enthalpy at 0 K, eV/atom: -0.0252
E above lowest polymorph, meV/atom: 203
Total magnetic moment, μB per atom: 0.00

2.
Crystalline Y2ZnC at its relaxed geometry. Source: Alexandria via LeMat-Bulk, functional PBE.

Cell lengths 6.9601, 6.9601, 6.1688 Å; angles 55.66, 55.66, 90.00 degrees
Closest atoms and distances in Å follow each position.
Fractional coordinates of all 8 atoms:
1 Y 0.1964 0.6250 0.2500  2 C 2.33
2 Y 0.3750 0.4464 0.7500  2 C 2.33
3 Y 0.5536 0.1250 0.2500  2 C 2.33
4 Y 0.8750 0.8036 0.7500  2 C 2.33
5 C 0.2500 0.7500 0.5000  4 Y 2.33
6 C 0.5000 0.5000 0.0000  4 Y 2.33
7 Zn 0.7500 0.2500 0.5000  4 Y 2.98
8 Zn 0.0000 0.0000 0.0000  4 Y 2.98

N(E_F), states/eV/f.u.: 1.58
Raw total energy, eV per cell: -47.034
Formation enthalpy at 0 K, eV/atom: -0.0227
E above lowest polymorph, meV/atom: 205
Total magnetic moment, μB per atom: 0.00

3.
Crystalline YZnC at its relaxed geometry. Source: Alexandria via LeMat-Bulk, functional PBE.

Cell lengths 3.6175, 3.6175, 9.1579 Å; angles 101.39, 101.39, 90.00 degrees
Closest atoms and distances in Å follow each position.
Fractional coordinates of all 6 atoms:
1 C 0.1788 0.1788 0.3576  1 Zn 1.97
2 C 0.8212 0.8212 0.6424  1 Zn 1.97
3 Zn 0.0669 0.0669 0.1337  1 C 1.97
4 Zn 0.9331 0.9331 0.8663  1 C 1.97
5 Y 0.6825 0.6825 0.3650  5 C 2.44-2.56
6 Y 0.3175 0.3175 0.6350  5 C 2.44-2.56

N(E_F), states/eV/f.u.: 1.69
Raw total energy, eV per cell: -34.054
Formation enthalpy at 0 K, eV/atom: -0.0217
Total magnetic moment, μB per atom: 0.00

4.
Crystalline YZnC2 at its relaxed geometry. Source: Alexandria via LeMat-Bulk, functional PBE.

Cell lengths 4.1942, 4.1942, 7.1141 Å; angles 72.86, 72.86, 90.00 degrees
Closest atoms and distances in Å follow each position.
Fractional coordinates of all 8 atoms:
1 Zn 0.5000 0.5000 0.0000  4 C 1.98
2 Zn 0.2500 0.7500 0.5000  4 C 1.98
3 C 0.3750 0.5138 0.7500  2 Zn 1.98
4 C 0.8750 0.7362 0.7500  2 Zn 1.98
5 C 0.2638 0.6250 0.2500  2 Zn 1.98
6 C 0.4862 0.1250 0.2500  2 Zn 1.98
7 Y 0.7500 0.2500 0.5000  4 C 2.52
8 Y 0.0000 0.0000 0.0000  4 C 2.52

N(E_F), states/eV/f.u.: 0.67
Raw total energy, eV per cell: -45.882
Formation enthalpy at 0 K, eV/atom: 0.8112
Total magnetic moment, μB per atom: 0.00

5.
Crystalline YZrC3 at its relaxed geometry. Source: Alexandria via LeMat-Bulk, functional PBE.

Cell lengths 4.2745, 4.2745, 4.2745 Å; angles 90.00, 90.00, 90.00 degrees
Closest atoms and distances in Å follow each position.
Fractional coordinates of all 5 atoms:
1 C 0.0000 0.0000 0.5000  2 Zr 2.14
2 C 0.0000 0.5000 0.0000  2 Zr 2.14
3 C 0.5000 0.0000 0.0000  2 Zr 2.14
4 Y 0.5000 0.5000 0.5000  12 C 3.02
5 Zr 0.0000 0.0000 0.0000  6 C 2.14

N(E_F), states/eV/f.u.: 2.57
Raw total energy, eV per cell: -37.410
Formation enthalpy at 0 K, eV/atom: 1.0547
E above lowest polymorph, meV/atom: 0
Total magnetic moment, μB per atom: 0.00

6.
Crystalline YZrC at its relaxed geometry. Source: Alexandria via LeMat-Bulk, functional PBE.

Cell lengths 5.8127, 3.4568, 3.4568 Å; angles 120.00, 90.00, 90.00 degrees
Closest atoms and distances in Å follow each position.
Fractional coordinates of all 3 atoms:
1 Zr 0.1190 0.0000 0.0000  3 C 2.28
2 C 0.3094 0.3333 0.6667  3 Zr 2.28, 3 Y 2.51
3 Y 0.5717 0.6667 0.3333  3 C 2.51

N(E_F), states/eV/f.u.: 3.37
Raw total energy, eV per cell: -25.357
Formation enthalpy at 0 K, eV/atom: -0.3738
E above lowest polymorph, meV/atom: 41
Total magnetic moment, μB per atom: 0.09

7.
Crystalline YZrC3 at its relaxed geometry. Source: Alexandria via LeMat-Bulk, functional PBE.

Cell lengths 4.2721, 4.2721, 4.2721 Å; angles 90.00, 90.00, 90.00 degrees
Closest atoms and distances in Å follow each position.
Fractional coordinates of all 5 atoms:
1 C 0.5000 0.0000 0.0000  2 Y 2.14
2 C 0.0000 0.0000 0.5000  2 Y 2.14
3 C 0.0000 0.5000 0.0000  2 Y 2.14
4 Y 0.0000 0.0000 0.0000  6 C 2.14
5 Zr 0.5000 0.5000 0.5000  12 C 3.02

N(E_F), states/eV/f.u.: 2.95
Raw total energy, eV per cell: -32.720
Formation enthalpy at 0 K, eV/atom: 1.9927
E above lowest polymorph, meV/atom: 938
Total magnetic moment, μB per atom: 0.00

8.
Crystalline YZr5C4 at its relaxed geometry. Source: Alexandria via LeMat-Bulk, functional PBE.

Cell lengths 3.3883, 6.8365, 7.5447 Å; angles 103.90, 102.98, 90.00 degrees
Closest atoms and distances in Å follow each position.
Fractional coordinates of all 10 atoms:
1 C 0.6731 0.0937 0.3462  5 Zr 2.31-2.35, 1 Y 2.47
2 C 0.3269 0.9063 0.6538  5 Zr 2.31-2.35, 1 Y 2.47
3 C 0.0045 0.2689 0.0090  4 Zr 2.29-2.43, 2 Y 2.49
4 C 0.9955 0.7311 0.9910  4 Zr 2.29-2.43, 2 Y 2.49
5 Zr 0.1655 0.8528 0.3311  4 C 2.31-2.43
6 Zr 0.5000 0.5000 0.0000  4 C 2.33
7 Zr 0.8345 0.1472 0.6689  4 C 2.31-2.43
8 Zr 0.8355 0.6821 0.6710  3 C 2.29-2.31
9 Zr 0.1645 0.3179 0.3290  3 C 2.29-2.31
10 Y 0.5000 0.0000 0.0000  6 C 2.47-2.49

N(E_F), states/eV/f.u.: 5.58
Raw total energy, eV per cell: -91.354
Formation enthalpy at 0 K, eV/atom: -0.5253
Total magnetic moment, μB per atom: 0.00